DFT (PBE) results for a relaxed ReP2HO crystal.

Lattice parameters (Å, degrees): 3.4281 3.4281 4.3110 90.00 90.00 90.00
With the nearest neighbours (Å) after each atom.
Fractional coordinates of all 5 atoms:
Re: 0.0000 0.0000 0.0000  4 O 2.42
P: 0.0000 0.5000 0.5000  2 H 1.71
P: 0.5000 0.0000 0.5000  2 H 1.71
H: 0.5000 0.5000 0.5000  4 P 1.71
O: 0.5000 0.5000 0.0000  2 H 2.16

Computed properties:
As for the size of the total moment: 0.0 μB per formula unit. As for the space-group type: P4/mmm. The total energy is -5.552 eV per atom.